1.
The following is a PBE calculation of a relaxed structure of Ce2PdPb8, from Alexandria.

Structure (POSCAR):
```
Ce2PdPb8
1.0
4.946 0.000 0.000
0.000 4.946 0.000
0.000 0.000 12.968
Ce Pd Pb
2 1 8
Direct
0.000 0.000 0.183
0.000 0.000 0.817
0.000 0.000 0.500
0.000 0.500 0.000
0.000 0.500 0.374
0.000 0.500 0.626
0.500 0.000 0.000
0.500 0.000 0.374
0.500 0.000 0.626
0.500 0.500 0.190
0.500 0.500 0.810
```

Results
- Mass density: 10701 kg/m³



2.
The following is a PBE calculation of a relaxed structure of CePd2Pb, from Alexandria.

Structure (POSCAR):
```
CePd2Pb
1.0
3.605 0.000 0.000
0.000 3.605 0.000
0.000 0.000 6.848
Ce Pd Pb
1 2 1
Direct
0.000 0.000 0.000
0.500 0.500 0.234
0.500 0.500 0.766
0.000 0.000 0.500
```

Results
- Mass density: 10450 kg/m³



Calculated ΔE_f in order - -0.268; -0.469 eV/atom